Record 1
DFT (PBEsol) results for an optimized crystal structure of H3RhS.

Results
VASP energy, eV per atom: -3.914
Calculated density, Mg/m³: 5.5

```
data_H3RhS
_chemical_formula_sum 'H3 Rh1 S1'
_space_group_name_H-M_alt 'P 1'
_space_group_IT_number 1
_cell_length_a 3.461
_cell_length_b 3.461
_cell_length_c 3.461
_cell_angle_alpha 90.00
_cell_angle_beta 90.00
_cell_angle_gamma 90.00
loop_
_space_group_symop_operation_xyz
'x,y,z'
loop_
_atom_site_label
_atom_site_fract_x
_atom_site_fract_y
_atom_site_fract_z
_atom_site_occupancy
H1 0.000 0.000 0.500 1
H2 0.000 0.500 0.000 1
H3 0.500 0.000 0.000 1
Rh1 0.000 0.000 0.000 1
S1 0.500 0.500 0.500 1
```

Record 2
DFT (PBEsol) results for an optimized crystal structure of SbHRh3.

Results
Excess energy over the best structure of this formula in the dataset, eV/f.u.: 10.22
Calculated density, Mg/m³: 6.5

```
data_SbHRh3
_chemical_formula_sum 'Sb1 H1 Rh3'
_space_group_name_H-M_alt 'P 1'
_space_group_IT_number 1
_cell_length_a 4.792
_cell_length_b 4.792
_cell_length_c 4.792
_cell_angle_alpha 90.00
_cell_angle_beta 90.00
_cell_angle_gamma 90.00
loop_
_space_group_symop_operation_xyz
'x,y,z'
loop_
_atom_site_label
_atom_site_fract_x
_atom_site_fract_y
_atom_site_fract_z
_atom_site_occupancy
Sb1 0.000 0.000 0.000 1
H1 0.500 0.500 0.500 1
Rh1 0.000 0.000 0.500 1
Rh2 0.000 0.500 0.000 1
Rh3 0.500 0.000 0.000 1
```

Record 3
DFT (PBEsol) results for an optimized crystal structure of SbHRh3.

Results
Excess energy over the best structure of this formula in the dataset, eV/f.u.: 0.01
Calculated density, Mg/m³: 11.7

```
data_SbHRh3
_chemical_formula_sum 'Sb1 H1 Rh3'
_space_group_name_H-M_alt 'P 1'
_space_group_IT_number 1
_cell_length_a 3.946
_cell_length_b 3.946
_cell_length_c 3.946
_cell_angle_alpha 90.00
_cell_angle_beta 90.00
_cell_angle_gamma 90.00
loop_
_space_group_symop_operation_xyz
'x,y,z'
loop_
_atom_site_label
_atom_site_fract_x
_atom_site_fract_y
_atom_site_fract_z
_atom_site_occupancy
Sb1 0.000 0.000 0.000 1
H1 0.500 0.500 0.500 1
Rh1 0.000 0.500 0.500 1
Rh2 0.500 0.000 0.500 1
Rh3 0.500 0.500 0.000 1
```

Record 4
DFT (PBEsol) results for an optimized crystal structure of SbHRh2.

Results
VASP energy, eV per atom: -5.929
Calculated density, Mg/m³: 10.2

```
data_SbHRh2
_chemical_formula_sum 'Sb1 H1 Rh2'
_space_group_name_H-M_alt 'P 1'
_space_group_IT_number 1
_cell_length_a 4.230
_cell_length_b 4.230
_cell_length_c 4.230
_cell_angle_alpha 60.00
_cell_angle_beta 60.00
_cell_angle_gamma 60.00
loop_
_space_group_symop_operation_xyz
'x,y,z'
loop_
_atom_site_label
_atom_site_fract_x
_atom_site_fract_y
_atom_site_fract_z
_atom_site_occupancy
Sb1 0.000 0.000 0.000 1
H1 0.500 0.500 0.500 1
Rh1 0.250 0.250 0.250 1
Rh2 0.750 0.750 0.750 1
```

Record 5
DFT (PBEsol) results for an optimized crystal structure of SbHRh3.

Results
Excess energy over the best structure of this formula in the dataset, eV/f.u.: 0.00
Calculated density, Mg/m³: 11.6

```
data_SbHRh3
_chemical_formula_sum 'Sb2 H2 Rh6'
_space_group_name_H-M_alt 'P 1'
_space_group_IT_number 1
_cell_length_a 5.586
_cell_length_b 5.586
_cell_length_c 5.586
_cell_angle_alpha 120.08
_cell_angle_beta 120.08
_cell_angle_gamma 89.87
loop_
_space_group_symop_operation_xyz
'x,y,z'
loop_
_atom_site_label
_atom_site_fract_x
_atom_site_fract_y
_atom_site_fract_z
_atom_site_occupancy
Sb1 0.250 0.750 0.500 1
Sb2 0.750 0.250 0.500 1
H1 0.000 0.000 0.000 1
H2 0.500 0.500 0.000 1
Rh1 0.234 0.734 0.969 1
Rh2 0.250 0.250 0.000 1
Rh3 0.266 0.234 0.500 1
Rh4 0.734 0.766 0.500 1
Rh5 0.750 0.750 0.000 1
Rh6 0.766 0.266 0.031 1
```

Record 6
DFT (PBEsol) results for an optimized crystal structure of Sc2SbHRh.

Results
VASP energy, eV per atom: -5.483
Calculated density, Mg/m³: 5.2

```
data_Sc2SbHRh
_chemical_formula_sum 'Sc2 Sb1 H1 Rh1'
_space_group_name_H-M_alt 'P 1'
_space_group_IT_number 1
_cell_length_a 5.348
_cell_length_b 5.348
_cell_length_c 3.510
_cell_angle_alpha 90.00
_cell_angle_beta 90.00
_cell_angle_gamma 90.00
loop_
_space_group_symop_operation_xyz
'x,y,z'
loop_
_atom_site_label
_atom_site_fract_x
_atom_site_fract_y
_atom_site_fract_z
_atom_site_occupancy
Sc1 0.000 0.500 0.000 1
Sc2 0.500 0.000 0.000 1
Sb1 0.000 0.000 0.000 1
H1 0.000 0.000 0.500 1
Rh1 0.500 0.500 0.500 1
```

Record 7
DFT (PBEsol) results for an optimized crystal structure of Sc2H2Rh.

Results
VASP energy, eV per atom: -6.374
Calculated density, Mg/m³: 5.5

```
data_Sc2H2Rh
_chemical_formula_sum 'Sc2 H2 Rh1'
_space_group_name_H-M_alt 'P 1'
_space_group_IT_number 1
_cell_length_a 6.236
_cell_length_b 6.236
_cell_length_c 6.236
_cell_angle_alpha 150.49
_cell_angle_beta 150.49
_cell_angle_gamma 42.22
loop_
_space_group_symop_operation_xyz
'x,y,z'
loop_
_atom_site_label
_atom_site_fract_x
_atom_site_fract_y
_atom_site_fract_z
_atom_site_occupancy
Sc1 0.141 0.141 0.000 1
Sc2 0.859 0.859 0.000 1
H1 0.250 0.750 0.500 1
H2 0.750 0.250 0.500 1
Rh1 0.500 0.500 0.000 1
```

Record 8
DFT (PBEsol) results for an optimized crystal structure of ScH3Rh.

Results
VASP energy, eV per atom: -5.467
Calculated density, Mg/m³: 5.9

```
data_ScH3Rh
_chemical_formula_sum 'Sc1 H3 Rh1'
_space_group_name_H-M_alt 'P 1'
_space_group_IT_number 1
_cell_length_a 3.495
_cell_length_b 3.495
_cell_length_c 3.495
_cell_angle_alpha 90.00
_cell_angle_beta 90.00
_cell_angle_gamma 90.00
loop_
_space_group_symop_operation_xyz
'x,y,z'
loop_
_atom_site_label
_atom_site_fract_x
_atom_site_fract_y
_atom_site_fract_z
_atom_site_occupancy
Sc1 0.000 0.000 0.000 1
H1 0.000 0.500 0.500 1
H2 0.500 0.000 0.500 1
H3 0.500 0.500 0.000 1
Rh1 0.500 0.500 0.500 1
```

Record 9
DFT (PBEsol) results for an optimized crystal structure of ScH3Rh.

Results
VASP energy, eV per atom: -4.732
Calculated density, Mg/m³: 5.6

```
data_ScH3Rh
_chemical_formula_sum 'Sc1 H3 Rh1'
_space_group_name_H-M_alt 'P 1'
_space_group_IT_number 1
_cell_length_a 3.561
_cell_length_b 3.561
_cell_length_c 3.561
_cell_angle_alpha 90.00
_cell_angle_beta 90.00
_cell_angle_gamma 90.00
loop_
_space_group_symop_operation_xyz
'x,y,z'
loop_
_atom_site_label
_atom_site_fract_x
_atom_site_fract_y
_atom_site_fract_z
_atom_site_occupancy
Sc1 0.000 0.000 0.000 1
H1 0.000 0.000 0.500 1
H2 0.000 0.500 0.000 1
H3 0.500 0.000 0.000 1
Rh1 0.500 0.500 0.500 1
```

Record 10
DFT (PBEsol) results for an optimized crystal structure of Sc3HRh.

Results
VASP energy, eV per atom: -6.649
Calculated density, Mg/m³: 5.1

```
data_Sc3HRh
_chemical_formula_sum 'Sc3 H1 Rh1'
_space_group_name_H-M_alt 'P 1'
_space_group_IT_number 1
_cell_length_a 4.263
_cell_length_b 4.263
_cell_length_c 4.263
_cell_angle_alpha 90.00
_cell_angle_beta 90.00
_cell_angle_gamma 90.00
loop_
_space_group_symop_operation_xyz
'x,y,z'
loop_
_atom_site_label
_atom_site_fract_x
_atom_site_fract_y
_atom_site_fract_z
_atom_site_occupancy
Sc1 0.000 0.000 0.500 1
Sc2 0.000 0.500 0.000 1
Sc3 0.500 0.000 0.000 1
H1 0.000 0.000 0.000 1
Rh1 0.500 0.500 0.500 1
```

Record 11
DFT (PBEsol) results for an optimized crystal structure of HRhSe2.

Results
Excess energy over the best structure of this formula in the dataset, eV/f.u.: 0.00
Calculated density, Mg/m³: 5.3

```
data_HRhSe2
_chemical_formula_sum 'H2 Rh2 Se4'
_space_group_name_H-M_alt 'P 1'
_space_group_IT_number 1
_cell_length_a 3.666
_cell_length_b 5.839
_cell_length_c 8.210
_cell_angle_alpha 70.32
_cell_angle_beta 81.04
_cell_angle_gamma 83.07
loop_
_space_group_symop_operation_xyz
'x,y,z'
loop_
_atom_site_label
_atom_site_fract_x
_atom_site_fract_y
_atom_site_fract_z
_atom_site_occupancy
H1 0.050 0.010 0.035 1
H2 0.950 0.990 0.965 1
Rh1 0.195 0.284 0.495 1
Rh2 0.805 0.716 0.505 1
Se1 0.272 0.502 0.691 1
Se2 0.312 0.983 0.334 1
Se3 0.688 0.017 0.666 1
Se4 0.728 0.498 0.309 1
```

Record 12
DFT (PBEsol) results for an optimized crystal structure of HRhSe2.

Results
Excess energy over the best structure of this formula in the dataset, eV/f.u.: 0.04
Calculated density, Mg/m³: 6.0

```
data_HRhSe2
_chemical_formula_sum 'H1 Rh1 Se2'
_space_group_name_H-M_alt 'P 1'
_space_group_IT_number 1
_cell_length_a 6.281
_cell_length_b 6.281
_cell_length_c 6.281
_cell_angle_alpha 34.80
_cell_angle_beta 34.80
_cell_angle_gamma 34.80
loop_
_space_group_symop_operation_xyz
'x,y,z'
loop_
_atom_site_label
_atom_site_fract_x
_atom_site_fract_y
_atom_site_fract_z
_atom_site_occupancy
H1 0.000 0.000 0.000 1
Rh1 0.500 0.500 0.500 1
Se1 0.100 0.100 0.100 1
Se2 0.900 0.900 0.900 1
```